# Tm3Tl3SnSe8 | Alexandria | PBE | relaxed
data_Tm3Tl3SnSe8
_space_group_name_H-M_alt 'P 1'
_space_group_IT_number 1
_cell_length_a 8.168
_cell_length_b 8.170
_cell_length_c 9.186
_cell_angle_alpha 116.42
_cell_angle_beta 90.00
_cell_angle_gamma 119.99
loop_
_space_group_symop_operation_xyz
'x,y,z'
loop_
_atom_site_label
_atom_site_type_symbol
_atom_site_fract_x
_atom_site_fract_y
_atom_site_fract_z
_atom_site_occupancy
Tm1 Tm 0.500 0.000 0.500 1
Tm2 Tm 0.000 0.500 0.500 1
Tm3 Tm 0.500 0.500 0.500 1
Se1 Se 0.259 0.031 0.302 1
Se2 Se 0.741 0.969 0.698 1
Se3 Se 0.229 0.457 0.698 1
Se4 Se 0.771 0.031 0.302 1
Se5 Se 0.734 0.468 0.701 1
Se6 Se 0.266 0.532 0.299 1
Se7 Se 0.229 0.969 0.698 1
Se8 Se 0.771 0.543 0.302 1
Tl1 Tl 0.500 0.500 0.000 1
Tl2 Tl 0.000 0.500 0.000 1
Tl3 Tl 0.000 0.000 0.000 1
Sn1 Sn 0.000 0.000 0.500 1
# DFT total energy ... -4.643 eV/atom
# Total magnetic moment ... 0.000 μB per atom
# N(E_F) ... 1.110 states/eV per cell
# Space-group type ... R-3m (166)